A plane-wave DFT calculation with PBE was carried out for a relaxed YMg2Br crystal.

```
YMg2Br
1.0
5.890 0.003 0.000
2.307 5.420 0.000
-4.099 -2.711 3.247
Br Mg Y
1 2 1
Direct
0.750 0.250 0.500
0.000 0.000 0.000
0.250 0.750 0.500
0.500 0.500 0.000
```

Output
The calculation puts the magnetic moment at 0.00 μB/atom. For the density of states at the Fermi level, the calculation gives 3.0 states/eV/f.u. Its space-group type is I-4m2, No. 119. As for the volume: 103.64 Å³/cell. Its energy relative to the elements, uncorrected is -0.23 eV per atom.


A plane-wave DFT calculation with PBE was carried out for a relaxed TaBeOs3 crystal.

```
TaBeOs3
1.0
-0.670 1.810 -4.327
-4.317 -1.947 -0.147
-1.834 3.922 1.924
Be Os Ta
1 3 1
Direct
0.500 0.500 0.500
0.000 0.500 0.000
0.000 0.000 0.500
0.500 0.000 0.000
0.000 0.000 0.000
```

Output
The calculation puts the magnetic moment at 0.22 μB/atom. The energy relative to the elements is 2.520 eV per atom. For the density of states at the Fermi level, the calculation gives 6.5 states/eV/f.u. Its space-group type is Pm-3m, No. 221. As for the volume: 106.38 Å³/cell.


A plane-wave DFT calculation with PBE was carried out for a relaxed InPt2Rh crystal.

```
InPt2Rh
1.0
-0.698 -4.361 1.021
1.344 -1.633 4.010
-3.075 -1.131 3.133
In Pt Rh
1 2 1
Direct
0.500 0.500 0.500
0.000 0.000 0.000
0.750 0.750 0.750
0.250 0.250 0.250
```

Output
The calculation puts the magnetic moment at 0.00 μB/atom. The energy relative to the elements is -0.191 eV per atom. For the density of states at the Fermi level, the calculation gives 4.6 states/eV/f.u. Its space-group type is F-43m, No. 216. As for the volume: 65.88 Å³/cell.


A plane-wave DFT calculation with PBE was carried out for a relaxed ZnIn8Hg2 crystal.

```
ZnIn8Hg2
1.0
4.651 0.000 0.000
0.000 7.216 0.177
-2.326 -2.876 8.447
Zn In Hg
1 8 2
Direct
0.500 0.000 0.000
0.413 0.555 0.826
0.667 0.912 0.335
0.847 0.785 0.693
0.966 0.239 0.932
0.153 0.215 0.307
0.333 0.088 0.665
0.587 0.445 0.174
0.034 0.761 0.068
0.785 0.339 0.571
0.215 0.661 0.429
```

Output
The calculation puts the magnetic moment at 0.00 μB/atom. The energy relative to the elements is 0.039 eV per atom. For the density of states at the Fermi level, the calculation gives 3.4 states/eV/f.u. Its space-group type is C2/m, No. 12. As for the volume: 285.86 Å³/cell.


A plane-wave DFT calculation with PBE was carried out for a relaxed La3PrNd2Dy6 crystal.

```
La3PrNd2Dy6
1.0
-0.057 -0.664 6.281
-4.639 -2.498 -3.482
7.660 -8.886 -1.926
La Pr Nd Dy
3 1 2 6
Direct
0.167 0.833 0.500
0.833 0.167 0.500
0.500 0.500 0.500
0.000 0.000 0.000
0.333 0.667 0.000
0.667 0.333 0.000
0.917 0.584 0.752
0.749 0.749 0.248
0.083 0.416 0.248
0.584 0.917 0.752
0.251 0.251 0.752
0.416 0.083 0.248
```

Output
The calculation puts the magnetic moment at 0.00 μB/atom. The energy relative to the elements is 0.012 eV per atom. For the density of states at the Fermi level, the calculation gives 14.2 states/eV/f.u. Its space-group type is C2/m, No. 12. As for the volume: 404.22 Å³/cell.


A plane-wave DFT calculation with PBE was carried out for a relaxed Rb2SrMgP crystal.

```
Rb2SrMgP
1.0
7.471 0.000 0.000
0.000 7.471 0.000
0.000 0.000 6.348
Sr Mg Rb P
1 1 2 1
Direct
0.000 0.000 0.000
0.000 0.000 0.500
0.000 0.500 0.000
0.500 0.000 0.000
0.500 0.500 0.500
```

Output
The calculation puts the magnetic moment at 0.06 μB/atom. The energy relative to the elements is 1.049 eV per atom. For the density of states at the Fermi level, the calculation gives 5.1 states/eV/f.u. Its space-group type is P4/mmm, No. 123. As for the volume: 354.38 Å³/cell.


magnetic moment of number 4 (ZnIn8Hg2)? 0.00 μB/atom